No. 1
This record from Alexandria describes a PBEsol-optimized structure of Be3N2. The functional is SCAN.

Results
The symmetry is No. 160. Its energy above the most stable polymorph in this dataset is 52.0 meV per atom. The raw formation energy comes out at -6.11 eV/f.u.

Unit cell a=2.8365 b=2.8365 c=5.1252 alpha=73.94 beta=73.94 gamma=60.00
Atoms (fractional coordinates):
Be 0.0889 0.0889 0.7334
Be 0.8590 0.8590 0.4231
Be 0.3177 0.3177 0.0470
N 0.7084 0.7084 0.8747
N 0.2042 0.2042 0.3874

***

No. 2
This record from Alexandria describes a PBEsol-optimized structure of K2CuTe. The functional is SCAN.

Results
The symmetry is No. 25. The raw formation energy comes out at -0.85 eV/f.u.

Unit cell a=3.3070 b=6.0901 c=6.0921 alpha=90.00 beta=89.99 gamma=90.00
Atoms (fractional coordinates):
Cu 0.3752 0.5000 0.8716
K 0.8751 0.0000 0.8775
K 0.8750 0.5000 0.3729
Te 0.3748 0.0000 0.3780

***

For each record above, in turn, the calculated volume values are 33.8, 122.7 Å³ per cell.
For each record above, in turn, the calculated magnetic moment values are 0.00, 0.00 μB per cell.